Record 1
A crystal of Ti2GaWS relaxed with PBEsol. Source: the Alexandria database, functional SCAN.

Computed properties:
ΔE_f (raw)   788 meV per atom
Density of states at the Fermi level   0.750 states/eV/atom
Total magnetic moment   0.827 μB per cell

CIF file:
```
data_Ti2GaWS
_chemical_formula_sum 'Ti2 Ga1 W1 S1'
_space_group_name_H-M_alt 'P 4/m m m'
_space_group_IT_number 123
_space_group_name_Hall '-P 4 2'
_cell_length_a 4.718
_cell_length_b 4.718
_cell_length_c 4.802
_cell_angle_alpha 90.00
_cell_angle_beta 90.00
_cell_angle_gamma 90.00
loop_
_atom_site_label
_atom_site_fract_x
_atom_site_fract_y
_atom_site_fract_z
_atom_site_occupancy
Ti1 0.000 0.500 0.000 1
Ga1 0.000 0.000 0.500 1
W1 0.000 0.000 0.000 1
S1 0.500 0.500 0.500 1
```

Record 2
A crystal of MgAl2Co relaxed with PBEsol. Source: the Alexandria database, functional SCAN.

Computed properties:
Density of states at the Fermi level   0.309 states/eV/atom
DFT formation energy   -0.10 eV per atom
Total magnetic moment   0.000 μB per cell

CIF file:
```
data_MgAl2Co
_chemical_formula_sum 'Mg2 Al4 Co2'
_space_group_name_H-M_alt 'I 4/m m m'
_space_group_IT_number 139
_space_group_name_Hall '-I 4 2'
_cell_length_a 3.925
_cell_length_b 3.925
_cell_length_c 7.329
_cell_angle_alpha 90.00
_cell_angle_beta 90.00
_cell_angle_gamma 90.00
loop_
_atom_site_label
_atom_site_fract_x
_atom_site_fract_y
_atom_site_fract_z
_atom_site_occupancy
Mg1 0.000 0.000 0.000 1
Al1 0.000 0.500 0.250 1
Co1 0.000 0.000 0.500 1
```